Pa2TiSn: optimized geometry, PBE-GGA.

a b c (Å): 5.152 5.152 5.152
angles (deg): 60.00 60.00 60.00
Atoms (fractional coordinates):
Pa  0.250  0.250  0.250
Pa  0.750  0.750  0.750
Sn  0.000  0.000  0.000
Ti  0.500  0.500  0.500

Values from the calculation:
space group	No. 225
energy above the most stable polymorph in this dataset	394	meV per atom
DOS(E_F)	2.18	states/eV/atom